[1]
{"formula": "Pr2InNi2", "functional": "GGA-PBEsol", "state": "optimized geometry", "lattice": [[7.428, 0.000, 0.000], [0.000, 7.428, 0.000], [0.000, 0.000, 3.813]], "species": ["Pr", "Pr", "Pr", "Pr", "In", "In", "Ni", "Ni", "Ni", "Ni"], "fractional_positions": [[0.177, 0.323, 0.000], [0.323, 0.823, 0.000], [0.677, 0.177, 0.000], [0.823, 0.677, 0.000], [0.000, 0.000, 0.500], [0.500, 0.500, 0.500], [0.118, 0.618, 0.500], [0.382, 0.118, 0.500], [0.618, 0.882, 0.500], [0.882, 0.382, 0.500]], "formation_energy_ev_per_atom": -0.412, "dft_energy_ev_per_atom": -5.546, "m_tot_mub_per_fu": 0.0}

***

[2]
{"formula": "PrInNi", "functional": "GGA-PBEsol", "state": "optimized geometry", "lattice": [[7.473, 0.000, 0.000], [-3.736, 6.471, 0.000], [0.000, 0.000, 3.905]], "species": ["Pr", "Pr", "Pr", "In", "In", "In", "Ni", "Ni", "Ni"], "fractional_positions": [[0.000, 0.416, 0.000], [0.416, 0.000, 0.000], [0.584, 0.584, 0.000], [0.000, 0.753, 0.500], [0.247, 0.247, 0.500], [0.753, 0.000, 0.500], [0.000, 0.000, 0.000], [0.333, 0.667, 0.500], [0.667, 0.333, 0.500]], "formation_energy_ev_per_atom": -0.466, "dft_energy_ev_per_atom": -5.241, "m_tot_mub_per_fu": 0.0}

***

[3]
{"formula": "InNiPt", "functional": "GGA-PBEsol", "state": "optimized geometry", "lattice": [[2.895, 0.000, 0.000], [0.000, 3.665, 0.000], [0.000, 0.000, 8.444]], "species": ["In", "In", "Ni", "Ni", "Pt", "Pt"], "fractional_positions": [[0.000, 0.000, 0.000], [0.500, 0.500, 0.500], [0.000, 0.000, 0.663], [0.500, 0.500, 0.163], [0.000, 0.000, 0.324], [0.500, 0.500, 0.824]], "formation_energy_ev_per_atom": -0.213, "dft_energy_ev_per_atom": -5.581, "m_tot_mub_per_fu": 0.0}

***

[4]
{"formula": "InNi2Pt2", "functional": "GGA-PBEsol", "state": "optimized geometry", "lattice": [[3.706, 0.000, 0.000], [0.000, 3.706, 0.000], [0.000, 0.000, 11.279]], "species": ["In", "In", "Ni", "Ni", "Ni", "Ni", "Pt", "Pt", "Pt", "Pt"], "fractional_positions": [[0.000, 0.000, 0.000], [0.500, 0.500, 0.500], [0.000, 0.000, 0.401], [0.000, 0.000, 0.599], [0.500, 0.500, 0.099], [0.500, 0.500, 0.901], [0.000, 0.500, 0.250], [0.000, 0.500, 0.750], [0.500, 0.000, 0.250], [0.500, 0.000, 0.750]], "formation_energy_ev_per_atom": 0.122, "dft_energy_ev_per_atom": -5.723, "m_tot_mub_per_fu": 1.6}

***

[5]
{"formula": "InNi2Pt", "functional": "GGA-PBEsol", "state": "optimized geometry", "lattice": [[3.809, 0.000, 0.000], [0.000, 3.809, 0.000], [0.000, 0.000, 7.568]], "species": ["In", "In", "Ni", "Ni", "Ni", "Ni", "Pt", "Pt"], "fractional_positions": [[0.000, 0.000, 0.000], [0.500, 0.500, 0.500], [0.000, 0.000, 0.500], [0.000, 0.500, 0.750], [0.500, 0.000, 0.250], [0.500, 0.500, 0.000], [0.000, 0.500, 0.250], [0.500, 0.000, 0.750]], "formation_energy_ev_per_atom": -0.193, "dft_energy_ev_per_atom": -5.759, "m_tot_mub_per_fu": 0.2}

***

[6]
{"formula": "InNi2Pt", "functional": "GGA-PBEsol", "state": "optimized geometry", "lattice": [[3.980, 0.000, 0.000], [0.000, 3.980, 0.000], [0.000, 0.000, 6.900]], "species": ["In", "In", "Ni", "Ni", "Ni", "Ni", "Pt", "Pt"], "fractional_positions": [[0.000, 0.000, 0.000], [0.500, 0.500, 0.500], [0.000, 0.500, 0.250], [0.000, 0.500, 0.750], [0.500, 0.000, 0.250], [0.500, 0.000, 0.750], [0.000, 0.000, 0.500], [0.500, 0.500, 0.000]], "formation_energy_ev_per_atom": -0.192, "dft_energy_ev_per_atom": -5.757, "m_tot_mub_per_fu": 0.0}

***

[7]
{"formula": "InNi6Pt", "functional": "GGA-PBEsol", "state": "optimized geometry", "lattice": [[3.628, -5.146, 0.000], [3.628, 5.146, 0.000], [0.000, 0.000, 10.287]], "species": ["In", "In", "In", "In", "Ni", "Ni", "Ni", "Ni", "Ni", "Ni", "Ni", "Ni", "Ni", "Ni", "Ni", "Ni", "Ni", "Ni", "Ni", "Ni", "Ni", "Ni", "Ni", "Ni", "Ni", "Ni", "Ni", "Ni", "Pt", "Pt", "Pt", "Pt"], "fractional_positions": [[0.000, 0.000, 0.249], [0.000, 0.000, 0.751], [0.247, 0.753, 0.500], [0.753, 0.247, 0.500], [0.000, 0.000, 0.000], [0.000, 0.000, 0.500], [0.128, 0.381, 0.123], [0.128, 0.381, 0.877], [0.132, 0.379, 0.372], [0.132, 0.379, 0.628], [0.253, 0.747, 0.246], [0.253, 0.747, 0.754], [0.379, 0.132, 0.372], [0.379, 0.132, 0.628], [0.381, 0.128, 0.123], [0.381, 0.128, 0.877], [0.500, 0.500, 0.000], [0.500, 0.500, 0.500], [0.619, 0.872, 0.123], [0.619, 0.872, 0.877], [0.621, 0.868, 0.372], [0.621, 0.868, 0.628], [0.747, 0.253, 0.246], [0.747, 0.253, 0.754], [0.868, 0.621, 0.372], [0.868, 0.621, 0.628], [0.872, 0.619, 0.123], [0.872, 0.619, 0.877], [0.245, 0.755, 0.000], [0.500, 0.500, 0.248], [0.500, 0.500, 0.752], [0.755, 0.245, 0.000]], "formation_energy_ev_per_atom": -0.064, "dft_energy_ev_per_atom": -5.926, "m_tot_mub_per_fu": 2.3}

***

[8]
{"formula": "InNi2Pt", "functional": "GGA-PBEsol", "state": "optimized geometry", "lattice": [[2.832, 0.000, 0.000], [0.000, 3.504, 0.000], [0.000, 0.000, 5.558]], "species": ["In", "Ni", "Ni", "Pt"], "fractional_positions": [[0.000, 0.000, 0.000], [0.000, 0.000, 0.469], [0.500, 0.500, 0.256], [0.500, 0.500, 0.709]], "formation_energy_ev_per_atom": -0.128, "dft_energy_ev_per_atom": -5.693, "m_tot_mub_per_fu": 0.5}

***

What did the sixth record say?
{"formula": "InNi2Pt", "functional": "GGA-PBEsol", "state": "optimized geometry", "lattice": [[3.980, 0.000, 0.000], [0.000, 3.980, 0.000], [0.000, 0.000, 6.900]], "species": ["In", "In", "Ni", "Ni", "Ni", "Ni", "Pt", "Pt"], "fractional_positions": [[0.000, 0.000, 0.000], [0.500, 0.500, 0.500], [0.000, 0.500, 0.250], [0.000, 0.500, 0.750], [0.500, 0.000, 0.250], [0.500, 0.000, 0.750], [0.000, 0.000, 0.500], [0.500, 0.500, 0.000]], "formation_energy_ev_per_atom": -0.192, "dft_energy_ev_per_atom": -5.757, "m_tot_mub_per_fu": 0.0}

***

> Number 1 is which compound?

Pr2InNi2